--- A ---
Below is a relaxed Li2GaBi2 crystal, with properties calculated at the GGA-PBE level.

Cell: 8.7285 8.7285 3.1583 Å, 90.00 90.00 90.00°
Element x y z (fractional)
Ga  0.5000  0.5000  0.0000
Ga  0.0000  0.0000  0.0000
Bi  0.1740  0.3260  0.0000
Bi  0.8260  0.6740  0.0000
Bi  0.6740  0.1740  0.0000
Bi  0.3260  0.8260  0.0000
Li  0.3778  0.1222  0.5000
Li  0.1222  0.6222  0.5000
Li  0.8778  0.3778  0.5000
Li  0.6222  0.8778  0.5000

Calculated values
Symmetry: P4/mbm
M_tot in μB per formula unit: 0.00
D(E_F) in states/eV per atom: 0.31

---

--- B ---
Below is a relaxed Li2GaBi2 crystal, with properties calculated at the GGA-PBE level.

Cell: 4.7225 4.7225 6.9310 Å, 70.08 70.08 90.00°
Element x y z (fractional)
Li  0.2500  0.7500  0.5000
Li  0.7500  0.2500  0.5000
Bi  0.6184  0.6184  0.7632
Bi  0.3816  0.3816  0.2368
Ga  0.0000  0.0000  0.0000

Calculated values
Symmetry: I4/mmm
M_tot in μB per formula unit: 0.00
D(E_F) in states/eV per atom: 0.33

---

What is the stability order? It is A, B, from most stable to least stable.

---

--- A ---
Below is a relaxed LiGaBi3 crystal, with properties calculated at the GGA-PBE level.

Cell: 5.5586 5.5586 5.5586 Å, 90.00 90.00 90.00°
Element x y z (fractional)
Ga  0.0000  0.0000  0.0000
Bi  0.5000  0.0000  0.0000
Bi  0.0000  0.0000  0.5000
Bi  0.0000  0.5000  0.0000
Li  0.5000  0.5000  0.5000

Calculated values
Symmetry: Pm-3m
M_tot in μB per formula unit: 0.00
D(E_F) in states/eV per atom: 0.68

---

--- B ---
Below is a relaxed LiGaBi3 crystal, with properties calculated at the GGA-PBE level.

Cell: 5.2451 5.2451 5.2451 Å, 90.00 90.00 90.00°
Element x y z (fractional)
Bi  0.0000  0.5000  0.0000
Bi  0.0000  0.0000  0.5000
Bi  0.5000  0.0000  0.0000
Ga  0.5000  0.5000  0.5000
Li  0.0000  0.0000  0.0000

Calculated values
Symmetry: Pm-3m
M_tot in μB per formula unit: 0.00
D(E_F) in states/eV per atom: 0.82

---

What is the stability order? It is B, A, from most stable to least stable.

---

--- A ---
Below is a relaxed LuGaBi crystal, with properties calculated at the GGA-PBE level.

Cell: 3.6575 3.6575 6.2091 Å, 107.13 107.13 90.00°
Element x y z (fractional)
Bi  0.9547  0.9547  0.9093
Lu  0.2649  0.2649  0.5298
Ga  0.6304  0.6304  0.2609

Calculated values
Symmetry: I4mm
M_tot in μB per formula unit: 0.00
D(E_F) in states/eV per atom: 0.55

---

--- B ---
Below is a relaxed LuGaBi crystal, with properties calculated at the GGA-PBE level.

Cell: 4.0614 4.7549 4.7549 Å, 120.00 90.00 90.00°
Element x y z (fractional)
Lu  0.2757  0.3333  0.6667
Bi  0.7094  0.6667  0.3333
Ga  0.0150  0.0000  0.0000

Calculated values
Symmetry: P3m1
M_tot in μB per formula unit: 0.00
D(E_F) in states/eV per atom: 0.65

---

What is the stability order? It is A, B, from most stable to least stable.

---

--- A ---
Below is a relaxed Mg2GaBi2 crystal, with properties calculated at the GGA-PBE level.

Cell: 4.7142 4.7142 7.6497 Å, 72.05 72.05 90.00°
Element x y z (fractional)
Ga  0.0000  0.0000  0.0000
Bi  0.2500  0.7500  0.5000
Bi  0.7500  0.2500  0.5000
Mg  0.3974  0.3974  0.2052
Mg  0.6026  0.6026  0.7948

Calculated values
Symmetry: I4/mmm
M_tot in μB per formula unit: 0.00
D(E_F) in states/eV per atom: 0.46

---

--- B ---
Below is a relaxed Mg2GaBi2 crystal, with properties calculated at the GGA-PBE level.

Cell: 8.7219 8.7219 3.5493 Å, 90.00 90.00 90.00°
Element x y z (fractional)
Mg  0.8693  0.6307  0.0000
Mg  0.3693  0.8693  0.0000
Mg  0.6307  0.1307  0.0000
Mg  0.1307  0.3693  0.0000
Bi  0.6681  0.8319  0.5000
Bi  0.8319  0.3319  0.5000
Bi  0.1681  0.6681  0.5000
Bi  0.3319  0.1681  0.5000
Ga  0.0000  0.0000  0.0000
Ga  0.5000  0.5000  0.0000

Calculated values
Symmetry: P4/mbm
M_tot in μB per formula unit: 0.00
D(E_F) in states/eV per atom: 0.38

---

What is the stability order? It is B, A, from most stable to least stable.

---

--- A ---
Below is a relaxed MgGa2Bi crystal, with properties calculated at the GGA-PBE level.

Cell: 4.8298 4.8298 5.4981 Å, 63.95 63.95 60.00°
Element x y z (fractional)
Ga  0.2771  0.2771  0.1688
Ga  0.9885  0.9885  0.0345
Mg  0.7342  0.7342  0.7974
Bi  0.5002  0.5002  0.4993

Calculated values
Symmetry: R3m
M_tot in μB per formula unit: 0.00
D(E_F) in states/eV per atom: 0.47

---

--- B ---
Below is a relaxed MgGa2Bi crystal, with properties calculated at the GGA-PBE level.

Cell: 5.1345 5.1345 5.1345 Å, 60.00 60.00 60.00°
Element x y z (fractional)
Mg  0.0000  0.0000  0.0000
Ga  0.7500  0.7500  0.7500
Ga  0.2500  0.2500  0.2500
Bi  0.5000  0.5000  0.5000

Calculated values
Symmetry: Fm-3m
M_tot in μB per formula unit: 0.00
D(E_F) in states/eV per atom: 0.84

---

What is the stability order? It is A, B, from most stable to least stable.

---

--- A ---
Below is a relaxed MgGa2Bi crystal, with properties calculated at the GGA-PBE level.

Cell: 4.8197 4.4124 4.4124 Å, 90.00 90.00 90.00°
Element x y z (fractional)
Mg  0.5000  0.0000  0.0000
Ga  0.0000  0.0000  0.5000
Ga  0.0000  0.5000  0.0000
Bi  0.5000  0.5000  0.5000

Calculated values
Symmetry: P4/mmm
M_tot in μB per formula unit: 0.00
D(E_F) in states/eV per atom: 0.34

---

--- B ---
Below is a relaxed MgGa2Bi crystal, with properties calculated at the GGA-PBE level.

Cell: 8.1845 8.1845 6.4924 Å, 50.93 50.93 90.00°
Element x y z (fractional)
Ga  0.1217  0.6250  0.2500
Ga  0.6283  0.1250  0.2500
Ga  0.8750  0.8783  0.7500
Ga  0.3750  0.3717  0.7500
Bi  0.0000  0.0000  0.0000
Bi  0.7500  0.2500  0.5000
Mg  0.5000  0.5000  0.0000
Mg  0.2500  0.7500  0.5000

Calculated values
Symmetry: I-42d
M_tot in μB per formula unit: 0.00
D(E_F) in states/eV per atom: 0.50

---

What is the stability order? It is A, B, from most stable to least stable.

---

--- A ---
Below is a relaxed Mg3GaBi3 crystal, with properties calculated at the GGA-PBE level.

Cell: 7.1801 9.4689 12.4825 Å, 90.00 90.00 112.28°
Element x y z (fractional)
Bi  0.0764  0.6684  0.1509
Bi  0.7753  0.0000  0.1478
Bi  0.9080  0.3316  0.3491
Bi  0.4236  0.3316  0.6509
Bi  0.5920  0.6684  0.8491
Bi  0.7247  0.0000  0.6478
Bi  0.0920  0.6684  0.6509
Bi  0.9236  0.3316  0.8491
Bi  0.4080  0.3316  0.1509
Bi  0.2753  0.0000  0.3522
Bi  0.5764  0.6684  0.3491
Bi  0.2247  0.0000  0.8522
Mg  0.4855  0.6607  0.0951
Mg  0.6752  0.6607  0.5951
Mg  0.1752  0.6607  0.9049
Mg  0.6453  0.0000  0.8997
Mg  0.9855  0.6607  0.4049
Mg  0.8547  0.0000  0.3997
Mg  0.8248  0.3393  0.0951
Mg  0.3248  0.3393  0.4049
Mg  0.3547  0.0000  0.1003
Mg  0.5145  0.3393  0.9049
Mg  0.1453  0.0000  0.6003
Mg  0.0145  0.3393  0.5951
Ga  0.5925  0.1850  0.5000
Ga  0.9075  0.8150  0.0000
Ga  0.0925  0.1850  0.0000
Ga  0.4075  0.8150  0.5000

Calculated values
Symmetry: Cmce
M_tot in μB per formula unit: 0.00
D(E_F) in states/eV per atom: 0.30

---

--- B ---
Below is a relaxed Mg3GaBi3 crystal, with properties calculated at the GGA-PBE level.

Cell: 8.1483 8.1483 8.1483 Å, 90.00 90.00 90.00°
Element x y z (fractional)
Mg  0.5000  0.0000  0.7500
Mg  0.0000  0.2500  0.5000
Mg  0.5000  0.0000  0.2500
Mg  0.0000  0.7500  0.5000
Mg  0.2500  0.5000  0.0000
Mg  0.7500  0.5000  0.0000
Bi  0.0000  0.5000  0.2500
Bi  0.5000  0.7500  0.0000
Bi  0.2500  0.0000  0.5000
Bi  0.7500  0.0000  0.5000
Bi  0.0000  0.5000  0.7500
Bi  0.5000  0.2500  0.0000
Ga  0.5000  0.5000  0.5000
Ga  0.0000  0.0000  0.0000

Calculated values
Symmetry: Pm-3n
M_tot in μB per formula unit: 0.00
D(E_F) in states/eV per atom: 1.50

---

What is the stability order? It is A, B, from most stable to least stable.

---

--- A ---
Below is a relaxed Mg3GaBi crystal, with properties calculated at the GGA-PBE level.

Cell: 4.6046 5.8681 9.5424 Å, 90.02 89.99 90.00°
Element x y z (fractional)
Mg  0.6265  0.0015  0.7307
Mg  0.1263  0.7508  0.5282
Mg  0.1263  0.2515  0.9355
Mg  0.6263  0.7518  0.0225
Mg  0.6269  0.2520  0.4395
Mg  0.6265  0.5015  0.7310
Ga  0.1265  0.2514  0.6359
Ga  0.1263  0.7515  0.8269
Bi  0.6261  0.2516  0.1195
Bi  0.6260  0.7518  0.3436

Calculated values
Symmetry: Pmm2
M_tot in μB per formula unit: 0.00
D(E_F) in states/eV per atom: 0.31

---

--- B ---
Below is a relaxed Mg3GaBi crystal, with properties calculated at the GGA-PBE level.

Cell: 5.8952 8.7794 9.5058 Å, 97.24 90.00 90.00°
Element x y z (fractional)
Mg  0.5963  0.7582  0.4188
Mg  0.5280  0.9275  0.7315
Mg  0.4720  0.0725  0.2685
Mg  0.3323  0.6505  0.0851
Mg  0.9720  0.9275  0.2315
Mg  0.1677  0.6505  0.5851
Mg  0.9037  0.7582  0.9188
Mg  0.6677  0.3495  0.9149
Mg  0.0963  0.2418  0.0812
Mg  0.8323  0.3495  0.4149
Mg  0.0280  0.0725  0.7685
Mg  0.4037  0.2418  0.5812
Bi  0.1873  0.4177  0.8284
Bi  0.6873  0.5823  0.6716
Bi  0.8127  0.5823  0.1716
Bi  0.3127  0.4177  0.3284
Ga  0.7144  0.0564  0.0046
Ga  0.2856  0.9436  0.9954
Ga  0.2144  0.9436  0.4954
Ga  0.7856  0.0564  0.5046

Calculated values
Symmetry: P2_1/c
M_tot in μB per formula unit: 0.00
D(E_F) in states/eV per atom: 0.37

---

--- C ---
Below is a relaxed Mg3GaBi crystal, with properties calculated at the GGA-PBE level.

Cell: 5.0832 5.0832 5.0832 Å, 90.00 90.00 90.00°
Element x y z (fractional)
Bi  0.5000  0.5000  0.5000
Mg  0.5000  0.0000  0.0000
Mg  0.0000  0.0000  0.5000
Mg  0.0000  0.5000  0.0000
Ga  0.0000  0.0000  0.0000

Calculated values
Symmetry: Pm-3m
M_tot in μB per formula unit: 0.00
D(E_F) in states/eV per atom: 0.75

---

What is the stability order? It is B, A, C, from most stable to least stable.